Material: NdHgPb2O4
Method: DFT, GGA-PBE
State: relaxed

```
NdHgPb2O4
1.0
-3.296 1.217 2.109
-2.435 -1.612 -2.876
-0.058 -8.490 4.808
Nd Hg Pb O
1 1 2 4
Direct
0.000 0.000 0.000 Nd
0.000 0.000 0.500 Hg
0.500 0.500 0.251 Pb
0.500 0.500 0.749 Pb
0.000 0.500 0.143 O
0.500 0.000 0.857 O
0.500 0.000 0.143 O
0.000 0.500 0.857 O
```

Output
raw formation energy: -1.57 eV per atom
volume: 20.5 Å³ per atom
spin magnetization: 0.0 μB per cell

Material: Nd2HgPdO5
Method: DFT, GGA-PBE
State: relaxed

```
Nd2HgPdO5
1.0
-2.638 -3.998 -3.128
-1.960 -3.231 5.782
-5.807 3.737 0.120
Nd Hg Pd O
4 2 2 10
Direct
0.500 0.674 0.174 Nd
0.500 0.174 0.326 Nd
0.500 0.826 0.674 Nd
0.500 0.326 0.826 Nd
0.000 0.500 0.500 Hg
0.000 0.000 0.000 Hg
0.000 0.000 0.500 Pd
0.000 0.500 0.000 Pd
0.500 0.500 0.500 O
0.500 0.000 0.000 O
0.256 0.137 0.637 O
0.256 0.863 0.363 O
0.256 0.363 0.137 O
0.256 0.637 0.863 O
0.744 0.137 0.637 O
0.744 0.637 0.863 O
0.744 0.863 0.363 O
0.744 0.363 0.137 O
```

Output
raw formation energy: -1.85 eV per atom
volume: 15.2 Å³ per atom
spin magnetization: 0.0 μB per cell

Material: PmNdHgO
Method: DFT, GGA-PBE
State: relaxed

```
PmNdHgO
1.0
3.775 0.000 0.000
0.000 3.792 -0.006
-1.888 -1.883 6.888
Pm Nd Hg O
1 1 1 1
Direct
0.974 0.433 0.948 Pm
0.669 0.127 0.338 Nd
0.322 0.780 0.644 Hg
0.570 0.528 0.139 O
```

Output
raw formation energy: -1.62 eV per atom
volume: 24.6 Å³ per atom
spin magnetization: 0.0 μB per cell

Material: Pr2Nd4Hg3O2
Method: DFT, GGA-PBE
State: relaxed

```
Pr2Nd4Hg3O2
1.0
-1.672 -4.388 1.516
2.688 -2.229 -3.486
8.807 2.433 8.728
Pr Nd Hg O
2 4 3 2
Direct
0.298 0.298 0.596 Pr
0.702 0.702 0.404 Pr
0.415 0.915 0.830 Nd
0.915 0.415 0.830 Nd
0.085 0.585 0.170 Nd
0.585 0.085 0.170 Nd
0.000 0.000 0.000 Hg
0.171 0.171 0.341 Hg
0.829 0.829 0.659 Hg
0.397 0.397 0.794 O
0.603 0.603 0.206 O
```

Output
raw formation energy: -1.22 eV per atom
volume: 26.9 Å³ per atom
spin magnetization: 0.0 μB per cell

Material: Pr2NdHgO
Method: DFT, GGA-PBE
State: relaxed

```
Pr2NdHgO
1.0
4.967 0.000 0.000
0.000 5.012 0.000
0.000 0.000 5.012
Pr Nd Hg O
2 1 1 1
Direct
0.000 0.000 0.500 Pr
0.000 0.500 0.000 Pr
0.500 0.000 0.000 Nd
0.500 0.500 0.500 Hg
0.000 0.000 0.000 O
```

Output
raw formation energy: -1.32 eV per atom
volume: 25.0 Å³ per atom
spin magnetization: 0.0 μB per cell

Material: NdHgPtO4
Method: DFT, GGA-PBE
State: relaxed

```
NdHgPtO4
1.0
-5.307 -3.191 -1.394
5.878 -3.368 -0.217
-3.300 2.672 6.447
Nd Hg Pt O
2 2 2 8
Direct
0.500 0.000 0.500 Nd
0.500 0.000 0.000 Nd
0.853 0.707 0.103 Hg
0.147 0.293 0.897 Hg
0.500 0.500 0.500 Pt
0.000 0.500 0.500 Pt
0.755 0.509 0.676 O
0.299 0.048 0.274 O
0.748 0.048 0.274 O
0.755 0.509 0.333 O
0.245 0.491 0.667 O
0.701 0.952 0.726 O
0.252 0.952 0.726 O
0.245 0.491 0.324 O
```

Output
raw formation energy: -1.34 eV per atom
volume: 16.0 Å³ per atom
spin magnetization: 0.0 μB per cell

Material: RbNdHg2O4
Method: DFT, GGA-PBE
State: relaxed

```
RbNdHg2O4
1.0
6.214 0.000 0.000
3.107 5.169 0.159
3.107 0.582 5.138
Rb Nd Hg O
1 1 2 4
Direct
0.000 0.000 0.000 Rb
0.500 0.500 0.500 Nd
0.201 0.299 0.299 Hg
0.799 0.701 0.701 Hg
0.458 0.152 0.483 O
0.093 0.848 0.517 O
0.907 0.483 0.152 O
0.542 0.517 0.848 O
```

Output
raw formation energy: -1.39 eV per atom
volume: 20.6 Å³ per atom
spin magnetization: 0.0 μB per cell

Material: NdReHgO6
Method: DFT, GGA-PBE
State: relaxed

```
NdReHgO6
1.0
-0.390 -4.091 4.176
4.598 -3.643 1.169
3.172 3.415 2.562
Nd Re Hg O
1 1 1 6
Direct
0.669 0.670 0.521 Nd
0.315 0.321 0.494 Re
0.983 0.965 0.996 Hg
0.992 0.430 0.268 O
0.397 0.012 0.723 O
0.663 0.296 0.712 O
0.122 0.543 0.696 O
0.316 0.649 0.283 O
0.542 0.114 0.306 O
```

Output
raw formation energy: -1.74 eV per atom
volume: 16.9 Å³ per atom
spin magnetization: 0.0 μB per cell